The following is a PBE calculation of a geometry-optimized Ac2ZnPt structure, from the Alexandria database.

Computed properties:
* formation enthalpy at 0 K: -634 meV/atom
* ΔE to the lowest computed polymorph: 65.7 meV/atom

a b c (Å): 4.4359 4.4359 8.1872
angles (deg): 74.28 74.28 60.00
Sites, in units of the cell vectors:
1 Zn 0.5003 0.5003 0.4991
2 Ac 0.0721 0.0721 0.7838
3 Pt 0.6658 0.6658 0.0027
4 Ac 0.2619 0.2619 0.2144


The following is a PBE calculation of a geometry-optimized AcZn2Pt3 structure, from the Alexandria database.

Computed properties:
* formation enthalpy at 0 K: -638 meV/atom
* ΔE to the lowest computed polymorph: 215.6 meV/atom

a b c (Å): 5.7862 6.8555 6.8555
angles (deg): 110.67 90.00 90.00
Sites, in units of the cell vectors:
1 Zn 0.5000 0.1709 0.1709
2 Pt 0.7500 0.8234 0.5272
3 Pt 0.7500 0.8510 0.1490
4 Zn 0.5000 0.8291 0.8291
5 Pt 0.7500 0.4728 0.1766
6 Ac 0.2500 0.6879 0.3121
7 Pt 0.2500 0.5272 0.8234
8 Pt 0.2500 0.1766 0.4728
9 Pt 0.2500 0.1490 0.8510
10 Zn 0.0000 0.8291 0.8291
11 Zn 0.0000 0.1709 0.1709
12 Ac 0.7500 0.3121 0.6879


The following is a PBE calculation of a geometry-optimized AcZn2Pt5 structure, from the Alexandria database.

Computed properties:
* formation enthalpy at 0 K: -626 meV/atom

a b c (Å): 4.0209 6.5575 6.5575
angles (deg): 66.30 72.15 72.15
Sites, in units of the cell vectors:
1 Ac 0.0000 0.0000 0.0000
2 Pt 0.3579 0.8374 0.4468
3 Pt 0.6421 0.1626 0.5532
4 Pt 0.3579 0.4468 0.8374
5 Pt 0.6421 0.5532 0.1626
6 Pt 0.0000 0.5000 0.5000
7 Zn 0.7573 0.7427 0.7427
8 Zn 0.2427 0.2573 0.2573


Q: Among the records above, which one has the lowest formation enthalpy at 0 K?
A: AcZn2Pt3